# 1
# K2Zr | Alexandria | GGA-PBEsol | relaxed
data_K2Zr
_chemical_formula_sum 'K4 Zr2'
_cell_length_a 6.356
_cell_length_b 6.356
_cell_length_c 7.581
_cell_angle_alpha 90.00
_cell_angle_beta 90.00
_cell_angle_gamma 120.00
_space_group_name_H-M_alt 'P 1'
_space_group_IT_number 1
_space_group_name_Hall 'P 1'
loop_
_atom_site_label
_atom_site_fract_x
_atom_site_fract_y
_atom_site_fract_z
_atom_site_occupancy
K1 0.000 0.000 0.000 1
K2 0.000 0.000 0.500 1
K3 0.333 0.667 0.250 1
K4 0.667 0.333 0.750 1
Zr1 0.333 0.667 0.750 1
Zr2 0.667 0.333 0.250 1
# Size of the total moment, μB per atom: 1.27
# N(E_F), states/eV/cell: 15.34
# Space-group type: P6_3/mmc (194)
# E_form, eV per atom: 1.39

=====

# 2
# K2Zr | Alexandria | GGA-PBEsol | relaxed
data_K2Zr
_chemical_formula_sum 'K2 Zr1'
_cell_length_a 6.595
_cell_length_b 6.595
_cell_length_c 2.997
_cell_angle_alpha 90.00
_cell_angle_beta 90.00
_cell_angle_gamma 120.00
_space_group_name_H-M_alt 'P 1'
_space_group_IT_number 1
_space_group_name_Hall 'P 1'
loop_
_atom_site_label
_atom_site_fract_x
_atom_site_fract_y
_atom_site_fract_z
_atom_site_occupancy
K1 0.333 0.667 0.000 1
K2 0.667 0.333 0.000 1
Zr1 0.000 0.000 0.500 1
# Size of the total moment, μB per atom: 0.00
# N(E_F), states/eV/cell: 4.26
# Space-group type: P6/mmm (191)
# E_form, eV per atom: 1.05

=====

# 3
# KZr2 | Alexandria | GGA-PBEsol | relaxed
data_KZr2
_chemical_formula_sum 'K2 Zr4'
_cell_length_a 5.549
_cell_length_b 5.549
_cell_length_c 12.221
_cell_angle_alpha 108.80
_cell_angle_beta 108.80
_cell_angle_gamma 33.64
_space_group_name_H-M_alt 'P 1'
_space_group_IT_number 1
_space_group_name_Hall 'P 1'
loop_
_atom_site_label
_atom_site_fract_x
_atom_site_fract_y
_atom_site_fract_z
_atom_site_occupancy
K1 0.179 0.179 0.133 1
K2 0.821 0.821 0.867 1
Zr1 0.181 0.181 0.575 1
Zr2 0.477 0.477 0.634 1
Zr3 0.523 0.523 0.366 1
Zr4 0.819 0.819 0.425 1
# Size of the total moment, μB per atom: 0.00
# N(E_F), states/eV/cell: 6.31
# Space-group type: C2/m (12)
# E_form, eV per atom: 0.42

=====

# 4
# KZr | Alexandria | GGA-PBEsol | relaxed
data_KZr
_chemical_formula_sum 'K2 Zr2'
_cell_length_a 3.394
_cell_length_b 3.394
_cell_length_c 12.984
_cell_angle_alpha 90.00
_cell_angle_beta 90.00
_cell_angle_gamma 120.00
_space_group_name_H-M_alt 'P 1'
_space_group_IT_number 1
_space_group_name_Hall 'P 1'
loop_
_atom_site_label
_atom_site_fract_x
_atom_site_fract_y
_atom_site_fract_z
_atom_site_occupancy
K1 0.333 0.667 0.157 1
K2 0.667 0.333 0.843 1
Zr1 0.333 0.667 0.588 1
Zr2 0.667 0.333 0.412 1
# Size of the total moment, μB per atom: 0.00
# N(E_F), states/eV/cell: 4.64
# Space-group type: P-3m1 (164)
# E_form, eV per atom: 0.55